# 1
The following is a DFT calculation (PBE) of crystalline La2PmTlRu at its relaxed geometry.

Values from the calculation:
**Total magnetization**: 0.00 μB/f.u.
**SG**: P4mm (99)
**Formation enthalpy at 0 K**: -120 kJ/mol of formula units

abc: 5.4141 5.4140 5.5629
angles: 90.00 90.00 90.00
Last column: nearest neighbours and their distance in Å.
Sites, in units of the cell vectors:
La: 0.0000 0.5000 0.9990  2 Ru 2.71
La: 0.5000 0.0000 0.9995  2 Ru 2.71
Pm: 0.0000 0.0000 0.5004  2 Ru 2.78-2.79
Tl: 0.5000 0.5000 0.4999  4 Pm 3.83, 8 La 3.88-3.89
Ru: 0.0000 0.0000 0.0013  4 La 2.71, 2 Pm 2.78-2.79

# 2
The following is a DFT calculation (PBE) of crystalline Nb2Al2Au at its relaxed geometry.

Values from the calculation:
**Total magnetization**: 0.00 μB/f.u.
**SG**: P4/mbm (127)
**Formation enthalpy at 0 K**: -113 kJ/mol of formula units
**Distance to the lowest polymorph of the same formula**: 0.000 eV/atom

abc: 6.6588 6.6588 3.8195
angles: 90.00 90.00 90.00
Last column: nearest neighbours and their distance in Å.
Sites, in units of the cell vectors:
Nb: 0.1711 0.6711 0.5000  6 Al 2.67-2.79
Nb: 0.6711 0.8289 0.5000  6 Al 2.67-2.79
Nb: 0.8289 0.3289 0.5000  6 Al 2.67-2.79
Nb: 0.3289 0.1711 0.5000  6 Al 2.67-2.79
Au: 0.0000 0.0000 0.0000  4 Al 2.61
Au: 0.5000 0.5000 0.0000  4 Al 2.61
Al: 0.3689 0.8689 0.0000  1 Al 2.47, 2 Au 2.61, 2 Nb 2.67
Al: 0.8689 0.6311 0.0000  1 Al 2.47, 2 Au 2.61, 2 Nb 2.67
Al: 0.6311 0.1311 0.0000  1 Al 2.47, 2 Au 2.61, 2 Nb 2.67
Al: 0.1311 0.3689 0.0000  1 Al 2.47, 2 Au 2.61, 2 Nb 2.67

# 3
The following is a DFT calculation (PBE) of crystalline HfMnN2 at its relaxed geometry.

Values from the calculation:
**Formation energy from raw total energies**: -1008.1 meV per atom
**Total magnetization**: 4.06 μB/f.u.
**SG**: C2/c (15)

abc: 5.6256 5.6734 6.9068
angles: 103.97 103.68 114.56
Last column: nearest neighbours and their distance in Å.
Sites, in units of the cell vectors:
Hf: 0.9340 0.1840 0.8680  6 N 2.15-2.23
Hf: 0.0660 0.8160 0.1320  6 N 2.15-2.23
Hf: 0.1901 0.4401 0.3801  6 N 2.15-2.24
Hf: 0.8099 0.5599 0.6199  6 N 2.15-2.24
Mn: 0.3161 0.0661 0.6323  4 N 2.13-2.20
Mn: 0.5590 0.3090 0.1179  4 N 2.14-2.22
Mn: 0.6839 0.9339 0.3677  4 N 2.13-2.20
Mn: 0.4410 0.6910 0.8821  4 N 2.14-2.22
N: 0.6991 0.4185 0.8738  2 Mn 2.13-2.14, 3 Hf 2.21-2.23
N: 0.1747 0.9553 0.8738  2 Mn 2.13-2.14, 3 Hf 2.21-2.23
N: 0.3009 0.5815 0.1262  2 Mn 2.13-2.14, 3 Hf 2.21-2.23
N: 0.8253 0.0447 0.1262  2 Mn 2.13-2.14, 3 Hf 2.21-2.23
N: 0.9532 0.6741 0.3766  3 Hf 2.15-2.24, 2 Mn 2.20-2.22
N: 0.5766 0.7975 0.6234  3 Hf 2.15-2.24, 2 Mn 2.20-2.22
N: 0.0468 0.3259 0.6234  3 Hf 2.15-2.24, 2 Mn 2.20-2.22
N: 0.4234 0.2025 0.3766  3 Hf 2.15-2.24, 2 Mn 2.20-2.22